AcCoGe2Os | PBE | relaxed

abc: 4.2274 4.2274 10.7946
angles: 90.00 90.00 90.00
Space group I-4m2 (No. 119)
Unique sites:
Ac1 0.0000 0.0000 0.0000 [2 per cell]
Co1 0.0000 0.5000 0.2500 [2 per cell]
Ge1 0.0000 0.0000 0.3622 [4 per cell]
Os1 0.0000 0.5000 0.7500 [2 per cell]

Calculated values
The total energy is -6.7729 eV/atom. As for the formation enthalpy at 0 K: -0.437 eV per atom.